# Sc3Zn

A crystal of Sc3Zn relaxed with PBEsol (meta-GGA SCAN, Alexandria).

Values from the calculation:
SG: P2/m (10)
Energy of formation in eV/atom: -0.084
Size of the total moment in μB per formula unit: 0.001

a = 3.210 Å, b = 4.220 Å, c = 6.078 Å
α = 90.00°, β = 90.63°, γ = 90.00°
Sites, in units of the cell vectors:
Sc1 0.000 0.000 0.000
Sc2 0.496 0.500 0.738
Sc3 0.504 0.500 0.262
Zn1 0.000 0.000 0.500